(1)
# CsNdAlS3

A relaxed CsNdAlS3 crystal (GGA-PBE, Alexandria).

Results
Space group: C2/m, No. 12
Raw formation energy, eV per atom: -1.425
Calculated density, g cm⁻³: 4.024

a b c (Å): 4.6439 8.1548 9.3309
angles (deg): 102.19 90.00 106.54
Fractional positions:
Cs: 0.3590 0.7181 0.9427
Cs: 0.6410 0.2819 0.0573
Nd: 0.6462 0.2924 0.5615
Nd: 0.3538 0.7076 0.4385
Al: 0.0014 0.0028 0.3566
Al: 0.9986 0.9972 0.6434
S: 0.8518 0.7035 0.2368
S: 0.8348 0.6697 0.6310
S: 0.5065 0.0131 0.2991
S: 0.1652 0.3303 0.3690
S: 0.4935 0.9869 0.7009
S: 0.1482 0.2965 0.7632

=====

(2)
# Cs4Nd3AlSe8

A relaxed Cs4Nd3AlSe8 crystal (GGA-PBE, Alexandria).

Results
Space group: R-3m, No. 166
Raw formation energy, eV per atom: -1.479
Calculated density, g cm⁻³: 5.010

a b c (Å): 8.6007 9.7554 8.6039
angles (deg): 116.19 119.99 90.00
Fractional positions:
Cs: 0.5000 0.0000 0.0000
Cs: 0.5000 0.0000 0.5000
Cs: 0.0000 0.0000 0.0000
Cs: 0.0000 0.0000 0.5000
Nd: 0.5000 0.5000 0.0000
Nd: 0.5000 0.5000 0.5000
Nd: 0.0000 0.5000 0.5000
Al: 0.0000 0.5000 0.0000
Se: 0.2129 0.6803 0.9674
Se: 0.2132 0.6805 0.4265
Se: 0.2688 0.3065 0.5377
Se: 0.7544 0.6803 0.9674
Se: 0.2456 0.3197 0.0326
Se: 0.7312 0.6935 0.4623
Se: 0.7868 0.3195 0.5735
Se: 0.7871 0.3197 0.0326

=====

(3)
# Cs2NdAlSe4

A relaxed Cs2NdAlSe4 crystal (GGA-PBE, Alexandria).

Results
Space group: Fddd, No. 70
Raw formation energy, eV per atom: -1.308
Calculated density, g cm⁻³: 3.702

a b c (Å): 6.5987 8.2891 13.8589
angles (deg): 84.56 76.23 66.54
Fractional positions:
Cs: 0.1807 0.0000 0.6386
Cs: 0.8193 0.0000 0.3614
Cs: 0.5693 0.5000 0.8614
Cs: 0.9307 0.5000 0.1386
Nd: 0.7500 0.5000 0.5000
Nd: 0.0000 0.0000 0.0000
Al: 0.2500 0.5000 0.5000
Al: 0.5000 0.0000 0.0000
Se: 0.3363 0.8066 0.1034
Se: 0.2462 0.1934 0.8966
Se: 0.8572 0.8066 0.8966
Se: 0.5604 0.1934 0.1034
Se: 0.4137 0.6934 0.3966
Se: 0.5038 0.3066 0.6034
Se: 0.8928 0.6934 0.6034
Se: 0.1897 0.3066 0.3966

=====

(4)
# Cs3Nd3AlSe8

A relaxed Cs3Nd3AlSe8 crystal (GGA-PBE, Alexandria).

Results
Space group: C2/m, No. 12
Raw formation energy, eV per atom: -1.420
Calculated density, g cm⁻³: 4.605

a b c (Å): 8.4857 8.4918 9.9086
angles (deg): 115.40 90.00 119.97
Fractional positions:
Cs: 0.0000 0.0000 0.0000
Cs: 0.0000 0.5000 0.0000
Cs: 0.5000 0.5000 0.0000
Nd: 0.5000 0.0000 0.5000
Nd: 0.5000 0.5000 0.5000
Nd: 0.0000 0.5000 0.5000
Al: 0.0000 0.0000 0.5000
Se: 0.2692 0.5385 0.3077
Se: 0.7308 0.4615 0.6923
Se: 0.7918 0.5835 0.3253
Se: 0.2082 0.4165 0.6747
Se: 0.7917 0.0335 0.3252
Se: 0.2083 0.9665 0.6748
Se: 0.2417 0.0335 0.3253
Se: 0.7583 0.9665 0.6747

=====

(5)
# Cs4Nd3AlTe8

A relaxed Cs4Nd3AlTe8 crystal (GGA-PBE, Alexandria).

Results
Space group: R-3m, No. 166
Raw formation energy, eV per atom: -1.177
Calculated density, g cm⁻³: 5.111

a b c (Å): 9.1952 10.3870 9.1958
angles (deg): 116.29 120.00 90.00
Fractional positions:
Cs: 0.5000 0.0000 0.0000
Cs: 0.5000 0.0000 0.5000
Cs: 0.0000 0.0000 0.0000
Cs: 0.0000 0.0000 0.5000
Nd: 0.5000 0.5000 0.0000
Nd: 0.5000 0.5000 0.5000
Nd: 0.0000 0.5000 0.5000
Al: 0.0000 0.5000 0.0000
Te: 0.2152 0.6839 0.9688
Te: 0.2152 0.6840 0.4304
Te: 0.2674 0.3023 0.5349
Te: 0.7537 0.6839 0.9688
Te: 0.2463 0.3161 0.0312
Te: 0.7326 0.6977 0.4651
Te: 0.7848 0.3160 0.5696
Te: 0.7848 0.3161 0.0312

=====

(6)
# CsAlNi2

A relaxed CsAlNi2 crystal (GGA-PBE, Alexandria).

Results
Space group: I-42d, No. 122
Formation enthalpy at 0 K, kcal/mol of atoms: 15.7
Calculated density, g cm⁻³: 4.488

a b c (Å): 7.5071 7.5071 6.4370
angles (deg): 54.33 54.33 90.00
Fractional positions:
Cs: 0.0000 0.0000 0.0000
Cs: 0.7500 0.2500 0.5000
Ni: 0.5080 0.1250 0.2500
Ni: 0.2420 0.6250 0.2500
Ni: 0.3750 0.4920 0.7500
Ni: 0.8750 0.7580 0.7500
Al: 0.5000 0.5000 0.0000
Al: 0.2500 0.7500 0.5000

=====

(7)
# CsAlNiPb2

A relaxed CsAlNiPb2 crystal (GGA-PBE, Alexandria).

Results
Space group: P4/mmm, No. 123
Formation enthalpy at 0 K, kcal/mol of atoms: 10.8
Calculated density, g cm⁻³: 6.459

a b c (Å): 5.1777 6.0704 5.1777
angles (deg): 90.00 90.00 90.00
Fractional positions:
Pb: 0.0000 0.0000 0.5000
Pb: 0.5000 0.0000 0.0000
Cs: 0.0000 0.5000 0.0000
Al: 0.5000 0.5000 0.5000
Ni: 0.0000 0.0000 0.0000

=====

(8)
# CsAlTlNi2

A relaxed CsAlTlNi2 crystal (GGA-PBE, Alexandria).

Results
Space group: P4/mmm, No. 123
Formation enthalpy at 0 K, kcal/mol of atoms: 38.8
Calculated density, g cm⁻³: 5.418

a b c (Å): 4.9269 6.0811 4.9269
angles (deg): 90.00 90.00 90.00
Fractional positions:
Cs: 0.0000 0.0000 0.0000
Ni: 0.0000 0.0000 0.5000
Ni: 0.5000 0.0000 0.0000
Tl: 0.5000 0.5000 0.5000
Al: 0.0000 0.5000 0.0000

=====

(9)
# Cs2NpAlO6

A relaxed Cs2NpAlO6 crystal (GGA-PBE, Alexandria).

Results
Space group: P-3m1, No. 164
Raw formation energy, eV per atom: -2.339
Calculated density, g cm⁻³: 5.085

a b c (Å): 5.3365 6.6496 6.6496
angles (deg): 120.00 90.00 90.00
Fractional positions:
Cs: 0.1825 0.3333 0.6667
Cs: 0.8175 0.6667 0.3333
Np: 0.5000 0.0000 0.0000
Al: 0.0000 0.0000 0.0000
O: 0.7612 0.1290 0.2581
O: 0.7612 0.1290 0.8710
O: 0.7612 0.7419 0.8710
O: 0.2388 0.8710 0.1290
O: 0.2388 0.2581 0.1290
O: 0.2388 0.8710 0.7419

=====

(10)
# CsNpAlO6

A relaxed CsNpAlO6 crystal (GGA-PBE, Alexandria).

Results
Space group: P312, No. 149
Raw formation energy, eV per atom: -2.263
Calculated density, g cm⁻³: 4.990

a b c (Å): 5.2693 5.2693 6.8211
angles (deg): 90.00 90.00 60.00
Last column: magnetic moment on the atom in μB.
Fractional positions:
Cs: 0.0000 0.0000 0.0000  0.01
Np: 0.6667 0.6666 0.5000  0.05
Al: 0.3333 0.3333 0.5000  0.00
O: 0.0115 0.3759 0.3416  0.15
O: 0.3759 0.0115 0.6584  0.15
O: 0.6126 0.3759 0.6584  0.15
O: 0.0114 0.6127 0.6584  0.15
O: 0.3759 0.6126 0.3416  0.15
O: 0.6126 0.0115 0.3416  0.15

=====

(11)
# CsNpAlO4

A relaxed CsNpAlO4 crystal (GGA-PBE, Alexandria).

Results
Space group: P2_1/m, No. 11
Raw formation energy, eV per atom: -2.577
Calculated density, g cm⁻³: 5.776

a b c (Å): 5.7694 5.9744 8.2484
angles (deg): 90.00 111.23 90.00
Last column: magnetic moment on the atom in μB.
Fractional positions:
Cs: 0.6790 0.7500 0.9316  0.00
Cs: 0.3210 0.2500 0.0684  0.00
Np: 0.7925 0.7500 0.4645  3.08
Np: 0.2075 0.2500 0.5355  3.08
Al: 0.2461 0.7500 0.3487  0.00
Al: 0.7539 0.2500 0.6513  0.00
O: 0.9647 0.4733 0.6597  -0.05
O: 0.0353 0.9733 0.3403  -0.05
O: 0.0353 0.5267 0.3403  -0.05
O: 0.9647 0.0267 0.6597  -0.05
O: 0.4410 0.7500 0.2255  -0.04
O: 0.5590 0.2500 0.7745  -0.04
O: 0.4907 0.7500 0.5567  -0.05
O: 0.5093 0.2500 0.4433  -0.05

=====

(12)
# Cs2NpAlS4

A relaxed Cs2NpAlS4 crystal (GGA-PBE, Alexandria).

Results
Space group: Fddd, No. 70
Raw formation energy, eV per atom: -1.168
Calculated density, g cm⁻³: 3.646

a b c (Å): 6.3203 7.9386 13.3997
angles (deg): 84.61 76.36 66.54
Last column: magnetic moment on the atom in μB.
Fractional positions:
Cs: 0.1784 0.0000 0.6432  0.01
Cs: 0.8216 0.0000 0.3568  0.01
Cs: 0.5716 0.5000 0.8568  0.01
Cs: 0.9284 0.5000 0.1432  0.01
Np: 0.7500 0.5000 0.5000  3.82
Np: 0.0000 0.0000 0.0000  3.82
Al: 0.2500 0.5000 0.5000  0.00
Al: 0.5000 0.0000 0.0000  0.00
S: 0.3328 0.8126 0.0986  -0.04
S: 0.2440 0.1874 0.9014  -0.04
S: 0.8547 0.8126 0.9014  -0.04
S: 0.5686 0.1874 0.0986  -0.04
S: 0.4172 0.6874 0.4014  -0.04
S: 0.5060 0.3126 0.5986  -0.04
S: 0.8953 0.6874 0.5986  -0.04
S: 0.1814 0.3126 0.4014  -0.04